<i>
The following is a DFT calculation (PBE) of a geometry-optimized NdYGe structure.

a = 5.2566 Å, b = 5.2566 Å, c = 6.5367 Å
α = 90.00°, β = 90.00°, γ = 120.00°
Last column: nearest neighbours and their distance in Å.
Atoms (fractional coordinates):
Ge 0.3333 0.6667 0.4880  5 Nd 3.03-3.28
Ge 0.6667 0.3333 0.9880  5 Nd 3.03-3.28
Nd 0.6667 0.3333 0.4863  5 Ge 3.03-3.28
Nd 0.3333 0.6667 0.9863  5 Ge 3.03-3.28
Y 0.0000 0.0000 0.2353  2 Y 3.27, 6 Ge 3.44-3.46, 6 Nd 3.44-3.45
Y 0.0000 0.0000 0.7353  2 Y 3.27, 6 Ge 3.44-3.46, 6 Nd 3.44-3.45

---

<ii>
The following is a DFT calculation (PBE) of a geometry-optimized NdYGe structure.

a = 5.0862 Å, b = 5.0862 Å, c = 14.7827 Å
α = 90.00°, β = 90.00°, γ = 120.00°
Last column: nearest neighbours and their distance in Å.
Atoms (fractional coordinates):
Ge 0.6667 0.3333 0.1101  4 Nd 2.94-3.25
Ge 0.6667 0.3333 0.3899  4 Nd 2.94-3.25
Ge 0.3333 0.6667 0.6101  4 Nd 2.94-3.25
Ge 0.3333 0.6667 0.8899  4 Nd 2.94-3.25
Nd 0.3333 0.6667 0.1096  4 Ge 2.94-3.25
Nd 0.3333 0.6667 0.3904  4 Ge 2.94-3.25
Nd 0.6667 0.3333 0.6096  4 Ge 2.94-3.25
Nd 0.6667 0.3333 0.8904  4 Ge 2.94-3.25
Y 0.0000 0.0000 0.0000  6 Nd 3.35, 6 Ge 3.36, 2 Y 3.70
Y 0.0000 0.0000 0.2500  6 Ge 3.59, 6 Nd 3.60, 2 Y 3.70
Y 0.0000 0.0000 0.5000  6 Nd 3.35, 6 Ge 3.36, 2 Y 3.70
Y 0.0000 0.0000 0.7500  6 Ge 3.59, 6 Nd 3.60, 2 Y 3.70

---

What are the relative energies? In meV per atom: <i> 0; <ii> 99.